No. 1
NiPbCl2: relaxed, GGA-PBE. Values from VASP.

Values from the calculation:
DOS(E_F), states/eV per cell: 5.08
M_tot, μB per cell: 1.25
Electronic total energy, eV per atom: -3.31
Formation energy without anion corrections, eV per atom: -0.01

```
&SYSTEM
  ibrav = 0, nat = 4, ntyp = 3
/
ATOMIC_SPECIES
Pb 207.20 Pb.upf
Ni 58.69 Ni.upf
Cl 35.45 Cl.upf
ATOMIC_POSITIONS angstrom
Pb 1.609 1.609 6.141
Ni 1.609 1.609 2.047
Cl 0.000 0.000 0.538
Cl 0.000 0.000 3.556
CELL_PARAMETERS angstrom
3.219 0.000 0.000
0.000 3.219 0.000
0.000 0.000 8.188
```

***

No. 2
Ca2BeH2: relaxed, GGA-PBE. Values from VASP.

Values from the calculation:
DOS(E_F), states/eV per cell: 3.07
M_tot, μB per cell: 0.00
Electronic total energy, eV per atom: -2.97

```
&SYSTEM
  ibrav = 0, nat = 5, ntyp = 3
/
ATOMIC_SPECIES
Be 9.01 Be.upf
Ca 40.08 Ca.upf
H 1.01 H.upf
ATOMIC_POSITIONS angstrom
Be 0.000 0.000 0.000
Ca -2.621 1.370 -1.208
Ca -5.960 2.516 -2.265
H -4.333 2.766 -0.712
H -4.249 1.121 -2.761
CELL_PARAMETERS angstrom
-1.005 3.546 0.484
-0.837 0.256 -3.613
-6.739 0.085 -0.345
```

***

No. 3
SmHo3Er: relaxed, GGA-PBE. Values from VASP.

Values from the calculation:
DOS(E_F), states/eV per cell: 12.25
M_tot, μB per cell: 0.00
Electronic total energy, eV per atom: -4.55
Energy of formation, eV/atom: 0.06

```
&SYSTEM
  ibrav = 0, nat = 10, ntyp = 3
/
ATOMIC_SPECIES
Sm 150.36 Sm.upf
Ho 164.93 Ho.upf
Er 167.26 Er.upf
ATOMIC_POSITIONS angstrom
Sm -3.989 1.010 -2.385
Sm -6.751 5.280 -3.085
Ho -9.048 1.699 1.063
Ho -9.910 5.124 -4.655
Ho -7.172 1.755 -3.680
Ho -9.853 2.913 -2.006
Ho -7.120 -0.453 -1.028
Ho -7.980 2.975 -6.745
Er -4.511 3.470 -4.972
Er -6.227 2.823 -0.499
CELL_PARAMETERS angstrom
-3.687 2.632 -7.701
-6.290 -1.621 -0.214
-4.535 4.309 2.316
```

***

No. 4
K2Cd4Hg5: relaxed, GGA-PBE. Values from VASP.

Values from the calculation:
DOS(E_F), states/eV per cell: 4.62
M_tot, μB per cell: 0.00
Electronic total energy, eV per atom: -0.77
Energy of formation, eV/atom: -0.10

```
&SYSTEM
  ibrav = 0, nat = 11, ntyp = 3
/
ATOMIC_SPECIES
K 39.10 K.upf
Cd 112.41 Cd.upf
Hg 200.59 Hg.upf
ATOMIC_POSITIONS angstrom
K -2.603 3.982 8.049
K -0.635 5.353 5.093
Cd 0.268 2.544 3.066
Cd -3.506 6.791 10.076
Cd -0.190 7.208 9.996
Cd -3.048 2.127 3.147
Hg 2.078 3.232 6.047
Hg -5.317 6.102 7.095
Hg -1.249 1.488 5.343
Hg 1.665 6.788 7.421
Hg -4.903 2.546 5.722
CELL_PARAMETERS angstrom
-0.739 6.359 2.456
-6.454 0.960 5.143
3.955 2.015 5.544
```

***

No. 5
PmScOs: relaxed, GGA-PBE. Values from VASP.

Values from the calculation:
DOS(E_F), states/eV per cell: 1.54
M_tot, μB per cell: 0.00
Electronic total energy, eV per atom: -7.63
Energy of formation, eV/atom: -0.19

```
&SYSTEM
  ibrav = 0, nat = 3, ntyp = 3
/
ATOMIC_SPECIES
Sc 44.96 Sc.upf
Os 190.23 Os.upf
Pm 145.00 Pm.upf
ATOMIC_POSITIONS angstrom
Sc 0.000 0.000 4.188
Os 1.666 1.666 5.624
Pm 1.666 1.666 1.062
CELL_PARAMETERS angstrom
3.331 0.000 0.000
0.000 3.331 0.000
-1.666 -1.666 6.396
```

***

No. 6
SrCeAg2: relaxed, GGA-PBE. Values from VASP.

Values from the calculation:
DOS(E_F), states/eV per cell: 8.33
M_tot, μB per cell: 1.07
Electronic total energy, eV per atom: -3.45
Energy of formation, eV/atom: -0.12

```
&SYSTEM
  ibrav = 0, nat = 4, ntyp = 3
/
ATOMIC_SPECIES
Sr 87.62 Sr.upf
Ag 107.87 Ag.upf
Ce 140.12 Ce.upf
ATOMIC_POSITIONS angstrom
Sr -2.633 5.724 -2.018
Ag -1.317 2.862 -1.009
Ag -3.950 8.586 -3.027
Ce 0.000 0.000 0.000
CELL_PARAMETERS angstrom
-0.412 3.451 -4.136
-4.615 2.682 -0.831
-0.240 5.316 0.931
```

***

No. 7
SnPt6Rh2: relaxed, GGA-PBE. Values from VASP.

Values from the calculation:
DOS(E_F), states/eV per cell: 16.53
M_tot, μB per cell: 0.00
Electronic total energy, eV per atom: -6.28
Energy of formation, eV/atom: -0.17

```
&SYSTEM
  ibrav = 0, nat = 18, ntyp = 3
/
ATOMIC_SPECIES
Sn 118.71 Sn.upf
Pt 195.08 Pt.upf
Rh 102.91 Rh.upf
ATOMIC_POSITIONS angstrom
Sn -1.218 -4.090 1.875
Sn 0.762 1.537 3.848
Pt 1.680 -7.272 4.119
Pt 1.712 -3.680 5.723
Pt 2.222 -2.670 8.291
Pt -0.669 0.549 6.089
Pt -1.689 -1.488 0.951
Pt -0.714 -3.049 4.427
Pt 1.273 2.541 6.413
Pt -2.623 -1.425 5.724
Pt -3.133 -2.435 3.156
Pt -0.242 -5.654 5.358
Pt 0.778 -3.617 10.496
Pt -0.197 -2.056 7.020
Rh -2.107 -0.430 8.310
Rh 0.274 -4.679 7.935
Rh -1.185 -0.425 3.512
Rh 1.196 -4.675 3.137
CELL_PARAMETERS angstrom
-3.864 -0.374 0.915
1.428 -7.806 2.836
1.525 3.075 7.696
```

***

No. 8
CsNaLi2Ga: relaxed, GGA-PBE. Values from VASP.

Values from the calculation:
DOS(E_F), states/eV per cell: 4.25
M_tot, μB per cell: 0.00
Electronic total energy, eV per atom: -1.75
Energy of formation, eV/atom: 0.06

```
&SYSTEM
  ibrav = 0, nat = 5, ntyp = 4
/
ATOMIC_SPECIES
Cs 132.91 Cs.upf
Na 22.99 Na.upf
Ga 69.72 Ga.upf
Li 6.94 Li.upf
ATOMIC_POSITIONS angstrom
Cs -2.309 -4.035 -1.371
Na -1.868 -1.600 1.593
Ga 0.000 0.000 0.000
Li 1.251 -2.282 -0.826
Li -1.692 -0.153 -2.138
CELL_PARAMETERS angstrom
-3.384 -0.306 -4.275
2.501 -4.565 -1.653
-3.736 -3.200 3.186
```

***

No. 9
Cd2NiAu8: relaxed, GGA-PBE. Values from VASP.

Values from the calculation:
DOS(E_F), states/eV per cell: 5.59
M_tot, μB per cell: 0.00
Electronic total energy, eV per atom: -3.05
Energy of formation, eV/atom: 0.03

```
&SYSTEM
  ibrav = 0, nat = 11, ntyp = 3
/
ATOMIC_SPECIES
Cd 112.41 Cd.upf
Ni 58.69 Ni.upf
Au 196.97 Au.upf
ATOMIC_POSITIONS angstrom
Cd 1.887 3.774 2.543
Cd 3.775 7.549 3.967
Ni 2.672 1.049 0.000
Au 5.721 3.491 1.395
Au 7.609 7.265 5.116
Au 3.278 3.565 0.000
Au 6.447 8.598 2.879
Au 4.559 4.824 3.632
Au 5.841 6.082 0.000
Au 3.397 6.156 1.395
Au 5.285 9.930 5.116
CELL_PARAMETERS angstrom
5.344 2.099 0.000
3.775 7.549 0.000
1.887 3.774 6.511
```

***

No. 10
Zr2PaMo: relaxed, GGA-PBE. Values from VASP.

Values from the calculation:
DOS(E_F), states/eV per cell: 7.89
M_tot, μB per cell: 0.00
Electronic total energy, eV per atom: -9.26
Energy of formation, eV/atom: 0.10

```
&SYSTEM
  ibrav = 0, nat = 4, ntyp = 3
/
ATOMIC_SPECIES
Mo 95.94 Mo.upf
Pa 231.04 Pa.upf
Zr 91.22 Zr.upf
ATOMIC_POSITIONS angstrom
Mo -1.606 -0.055 1.758
Pa 0.583 -2.457 3.682
Zr 3.435 -3.767 3.020
Zr 0.944 -1.036 0.830
CELL_PARAMETERS angstrom
-0.517 1.782 2.811
-2.695 -1.893 0.704
4.379 -4.803 3.850
```

***

No. 11
Tb2HoPuAs4: relaxed, GGA-PBE. Values from VASP.

Values from the calculation:
DOS(E_F), states/eV per cell: 13.19
M_tot, μB per cell: 4.93
Electronic total energy, eV per atom: -7.24
Energy of formation, eV/atom: -1.40

```
&SYSTEM
  ibrav = 0, nat = 8, ntyp = 4
/
ATOMIC_SPECIES
Tb 158.93 Tb.upf
Ho 164.93 Ho.upf
Pu 244.00 Pu.upf
As 74.92 As.upf
ATOMIC_POSITIONS angstrom
Tb -3.605 1.472 -1.363
Tb -3.185 -2.554 -0.572
Ho 0.063 -2.707 -3.111
Pu 0.000 0.000 0.000
As -1.752 -0.615 -2.238
As -4.975 -3.176 -2.808
As -5.037 -0.465 0.304
As -1.333 -4.644 -1.447
CELL_PARAMETERS angstrom
-0.357 1.318 -3.902
0.483 -6.733 -2.319
-6.853 1.625 1.176
```

***

No. 12
Nd6As3PbS2: relaxed, GGA-PBE. Values from VASP.

Values from the calculation:
DOS(E_F), states/eV per cell: 3.03
M_tot, μB per cell: 0.00
Electronic total energy, eV per atom: -6.05
Formation energy without anion corrections, eV per atom: -1.51

```
&SYSTEM
  ibrav = 0, nat = 12, ntyp = 4
/
ATOMIC_SPECIES
Nd 144.24 Nd.upf
As 74.92 As.upf
Pb 207.20 Pb.upf
S 32.06 S.upf
ATOMIC_POSITIONS angstrom
Nd 6.992 -5.086 1.401
Nd 2.862 -4.564 1.796
Nd 1.327 -0.899 3.422
Nd 0.891 -1.935 -0.798
Nd 7.428 -4.050 5.621
Nd 5.458 -1.421 3.028
As 0.522 -4.757 -0.112
As 3.593 -0.711 5.269
As 4.726 -5.273 -0.446
Pb -1.091 -1.100 1.450
S 5.121 -4.332 3.671
S 3.198 -1.653 1.152
CELL_PARAMETERS angstrom
-2.182 -2.200 2.900
3.225 -7.314 -3.123
7.276 3.529 5.047
```